1.
DFT (PBE-GGA) results for a relaxed structure of LaPdPtPb.

* formation energy: -0.68 eV per atom
* DFT total energy: -5.646 eV per atom

Lattice parameters (Å, degrees): 5.031 5.031 5.031 60.00 60.00 60.00
Element x y z (fractional)
Pb 0.500 0.500 0.500
Pd 0.250 0.250 0.250
Pt 0.750 0.750 0.750
La 0.000 0.000 0.000

***

2.
DFT (PBE-GGA) results for a relaxed structure of Li5CdPd4.

* formation energy: -0.41 eV per atom
* DFT total energy: -3.531 eV per atom
* polymorph energy (0 for the lowest one): 0 meV per atom

Lattice parameters (Å, degrees): 4.370 5.301 6.971 106.00 108.27 90.00
Element x y z (fractional)
Li 0.294 0.193 0.588
Li 0.104 0.365 0.208
Li 0.896 0.635 0.792
Li 0.500 0.500 0.000
Li 0.706 0.807 0.412
Cd 0.500 0.000 0.000
Pd 0.709 0.308 0.417
Pd 0.103 0.868 0.206
Pd 0.291 0.692 0.583
Pd 0.897 0.132 0.794